1.
First-principles (GGA-PBE) data for a relaxed KMg8Cd4 crystal, as listed in the Alexandria database.

Mass density   3.6 Mg/m³
VASP energy   -1.393 eV per atom
Magnetization   0.0 μB per formula unit

Lattice parameters (Å, degrees): 10.2973 10.2973 5.9877 90.00 90.00 90.00
Last column: nearest neighbours and their distance in Å.
Space group I4/mmm (No. 139)
Asymmetric unit:
K1 0.0000 0.0000 0.0000 [2 per cell]  12 Mg 3.64-3.78, 8 Cd 3.94
Mg1 0.0000 0.2237 0.5000 [8 per cell]  4 Cd 2.99, 6 Mg 3.22-3.28
Mg2 0.0000 0.3531 0.0000 [8 per cell]  5 Mg 3.03-3.28, 4 Cd 3.16
Cd1 0.2500 0.2500 0.2500 [8 per cell]  8 Mg 2.99-3.16, 2 Cd 2.99

---

2.
First-principles (GGA-PBE) data for a relaxed K2MgCd2 crystal, as listed in the Alexandria database.

Mass density   2.7 Mg/m³
Relative energy among the computed polymorphs   233 meV/atom
VASP energy   -0.880 eV per atom
Magnetization   0.0 μB per formula unit

Lattice parameters (Å, degrees): 5.1146 5.1146 15.1883 90.00 90.00 90.00
Last column: nearest neighbours and their distance in Å.
Space group I4/mmm (No. 139)
Asymmetric unit:
K1 0.0000 0.5000 0.2500 [4 per cell]  4 Cd 3.52, 4 K 3.62
Mg1 0.0000 0.0000 0.0000 [2 per cell]  8 Cd 3.87
Cd1 0.0000 0.0000 0.4088 [4 per cell]  1 Cd 2.77

---

3.
First-principles (GGA-PBE) data for a relaxed KMgCd2 crystal, as listed in the Alexandria database.

Mass density   3.8 Mg/m³
VASP energy   -1.104 eV per atom
Magnetization   0.0 μB per formula unit

Lattice parameters (Å, degrees): 10.1017 3.5769 7.0369 90.00 100.26 90.00
Last column: nearest neighbours and their distance in Å.
Space group C2/m (No. 12)
Asymmetric unit:
K1 0.0000 0.0000 0.0000 [2 per cell]  2 K 3.58, 6 Cd 3.59-3.69, 4 Mg 3.95
Mg1 0.0000 0.5000 0.5000 [2 per cell]  6 Cd 3.03-3.14
Cd1 0.2330 0.0000 0.6694 [4 per cell]  3 Mg 3.03-3.14, 2 Cd 3.05

---

4.
First-principles (GGA-PBE) data for a relaxed KMgCd3 crystal, as listed in the Alexandria database.

Mass density   2.6 Mg/m³
Relative energy among the computed polymorphs   674 meV/atom
VASP energy   -0.461 eV per atom
Magnetization   0.0 μB per formula unit

Lattice parameters (Å, degrees): 6.3807 6.3807 6.3807 90.00 90.00 90.00
Last column: nearest neighbours and their distance in Å.
Space group Pm-3m (No. 221)
Asymmetric unit:
K1 0.0000 0.0000 0.0000 [1 per cell]  6 Cd 3.19
Mg1 0.5000 0.5000 0.5000 [1 per cell]  12 Cd 4.51
Cd1 0.0000 0.0000 0.5000 [3 per cell]  2 K 3.19

---

5.
First-principles (GGA-PBE) data for a relaxed KMg3Cd crystal, as listed in the Alexandria database.

Mass density   1.3 Mg/m³
Relative energy among the computed polymorphs   735 meV/atom
VASP energy   -0.460 eV per atom
Magnetization   0.0 μB per formula unit

Lattice parameters (Å, degrees): 6.5850 6.5850 6.5850 90.00 90.00 90.00
Last column: nearest neighbours and their distance in Å.
Space group Pm-3m (No. 221)
Asymmetric unit:
K1 0.0000 0.0000 0.0000 [1 per cell]  6 Mg 3.29
Mg1 0.0000 0.0000 0.5000 [3 per cell]  2 K 3.29
Cd1 0.5000 0.5000 0.5000 [1 per cell]  12 Mg 4.66

---

6.
First-principles (GGA-PBE) data for a relaxed KMgCd2 crystal, as listed in the Alexandria database.

Mass density   4.0 Mg/m³
VASP energy   -1.031 eV per atom
Magnetization   0.0 μB per formula unit

Lattice parameters (Å, degrees): 3.6420 3.6420 31.1443 90.00 90.00 120.00
Last column: nearest neighbours and their distance in Å.
Space group R-3m (No. 166, hexagonal axes)
Asymmetric unit:
K1 0.0000 0.0000 0.0000 [3 per cell]  6 Cd 3.63, 6 K 3.64
Mg1 0.0000 0.0000 0.5000 [3 per cell]  6 Cd 3.07
Cd1 0.0000 0.0000 0.2384 [6 per cell]  3 Mg 3.07

---

7.
First-principles (GGA-PBE) data for a relaxed KMg3Cd9 crystal, as listed in the Alexandria database.

Mass density   5.9 Mg/m³
VASP energy   -1.156 eV per atom
Magnetization   0.0 μB per formula unit

Lattice parameters (Å, degrees): 6.0657 14.5021 7.6818 90.00 111.80 90.00
Last column: nearest neighbours and their distance in Å.
Space group C2/m (No. 12)
Asymmetric unit:
K1 0.0000 0.0000 0.0000 [2 per cell]  14 Cd 3.56-3.91, 6 Mg 3.84-3.93
Mg1 0.0000 0.0000 0.5000 [2 per cell]  10 Cd 3.00-3.10
Mg2 0.2500 0.2500 0.0000 [4 per cell]  8 Cd 2.94-3.12, 2 Mg 3.03
Cd1 0.0000 0.5000 0.5000 [2 per cell]  8 Cd 2.97-3.21, 2 Mg 3.03
Cd2 0.1112 0.3897 0.2180 [8 per cell]  3 Mg 2.94-3.00, 6 Cd 2.97-3.25
Cd3 0.1612 0.1758 0.3491 [8 per cell]  6 Cd 3.05-3.38, 3 Mg 3.10-3.12

---

8.
First-principles (GGA-PBE) data for a relaxed KMg2Cd crystal, as listed in the Alexandria database.

Mass density   2.8 Mg/m³
VASP energy   -1.106 eV per atom
Magnetization   0.0 μB per formula unit

Lattice parameters (Å, degrees): 3.6342 5.6394 5.8004 90.00 90.00 90.00
Last column: nearest neighbours and their distance in Å.
Space group Pmmm (No. 47)
Asymmetric unit:
K1 0.0000 0.0000 0.0000 [1 per cell]  4 Cd 3.35, 4 Mg 3.42, 2 K 3.63
Mg1 0.0000 0.5000 0.5000 [1 per cell]  6 Mg 3.35-3.63, 4 Cd 3.42
Mg2 0.5000 0.0000 0.5000 [1 per cell]  6 Mg 3.35-3.63, 4 K 3.42
Cd1 0.5000 0.5000 0.0000 [1 per cell]  4 K 3.35, 4 Mg 3.42, 2 Cd 3.63

---

9.
First-principles (GGA-PBE) data for a relaxed K2MgCd crystal, as listed in the Alexandria database.

Mass density   2.2 Mg/m³
Relative energy among the computed polymorphs   161 meV/atom
VASP energy   -0.978 eV per atom
Magnetization   0.0 μB per formula unit

Lattice parameters (Å, degrees): 3.8341 3.8341 38.1549 90.00 90.00 120.00
Last column: nearest neighbours and their distance in Å.
Space group R-3m (No. 166, hexagonal axes)
Asymmetric unit:
K1 0.0000 0.0000 0.2480 [6 per cell]  3 Cd 3.81, 6 K 3.83, 3 Mg 3.94
Mg1 0.0000 0.0000 0.0000 [3 per cell]  6 Mg 3.83, 6 K 3.94
Cd1 0.0000 0.0000 0.5000 [3 per cell]  6 K 3.81, 6 Cd 3.83

---

10.
First-principles (GGA-PBE) data for a relaxed KMg4Cd2 crystal, as listed in the Alexandria database.

Mass density   3.2 Mg/m³
VASP energy   -1.362 eV per atom
Magnetization   0.0 μB per formula unit

Lattice parameters (Å, degrees): 8.7777 8.7777 4.8979 90.00 90.00 90.00
Last column: nearest neighbours and their distance in Å.
Space group P4_2/mnm (No. 136)
Asymmetric unit:
K1 0.0000 0.0000 0.0000 [2 per cell]  6 Cd 3.50-3.65, 4 Mg 3.77
Mg1 0.0966 0.3534 0.5000 [8 per cell]  3 Cd 3.01, 6 Mg 3.08-3.28
Cd1 0.2181 0.7819 0.5000 [4 per cell]  6 Mg 3.01

---

11.
First-principles (GGA-PBE) data for a relaxed KMgCd11 crystal, as listed in the Alexandria database.

Mass density   6.8 Mg/m³
VASP energy   -1.030 eV per atom
Magnetization   0.0 μB per formula unit

Lattice parameters (Å, degrees): 6.0069 14.4593 7.8586 90.00 112.42 90.00
Last column: nearest neighbours and their distance in Å.
Space group C2/m (No. 12)
Asymmetric unit:
K1 0.0000 0.0000 0.0000 [2 per cell]  18 Cd 3.62-3.93, 2 Mg 3.93
Mg1 0.0000 0.5000 0.5000 [2 per cell]  10 Cd 2.97-3.11
Cd1 0.0000 0.0000 0.5000 [2 per cell]  8 Cd 2.99-3.15, 2 Mg 3.00
Cd2 0.1061 0.3913 0.2191 [8 per cell]  1 Mg 2.97, 8 Cd 2.98-3.27
Cd3 0.1847 0.1757 0.3547 [8 per cell]  8 Cd 3.01-3.37, 1 Mg 3.11
Cd4 0.2500 0.2500 0.0000 [4 per cell]  10 Cd 2.98-3.19

---

12.
First-principles (GGA-PBE) data for a relaxed K2MgCd crystal, as listed in the Alexandria database.

Mass density   2.1 Mg/m³
Relative energy among the computed polymorphs   25 meV/atom
VASP energy   -1.114 eV per atom
Magnetization   0.0 μB per formula unit

Lattice parameters (Å, degrees): 4.9561 5.2621 7.1086 90.00 110.30 90.00
Last column: nearest neighbours and their distance in Å.
Space group Pm (No. 6)
Asymmetric unit:
K1 0.0000 0.0000 0.0000 [1 per cell]  3 Cd 3.70-3.92, 4 Mg 3.87
K2 0.3056 0.5000 0.6143 [1 per cell]  3 Mg 3.67-3.95, 4 Cd 3.86
Mg1 0.6035 0.5000 0.2069 [1 per cell]  2 Cd 2.97
Cd1 0.7050 0.0000 0.4121 [1 per cell]  2 Mg 2.97